Entry 1:
The following is a GGA-PBE calculation of a relaxed structure of ZnCr2Br, from Alexandria.

a b c (Å): 3.3194 5.6926 4.2919
angles (deg): 90.00 90.00 90.00
Last column: nearest neighbours and their distance in Å.
Sites, in units of the cell vectors:
Cr1 0.5000 0.5000 0.0000  4 Br 2.71
Zn1 0.5000 0.0000 0.5000  4 Cr 2.71
Cr2 0.0000 0.0000 0.0000  4 Zn 2.71
Br1 0.0000 0.5000 0.5000  4 Cr 2.71

- calculated density (Mg/m³) = 5.1
- E (eV per atom) = -4.883
- space group = Pmmm, No. 47
- relative energy among the computed polymorphs (meV/atom) = 388.5
- energy relative to the elements, uncorrected (eV/atom) = 0.67

=====

Entry 2:
The following is a GGA-PBE calculation of a relaxed structure of ZnCrBr, from Alexandria.

a b c (Å): 6.3880 6.3878 3.3156
angles (deg): 74.96 74.95 30.08
Last column: nearest neighbours and their distance in Å.
Sites, in units of the cell vectors:
Zn1 0.2940 0.2940 0.7060  4 Cr 2.76, 1 Br 3.08
Br1 0.0345 0.0345 0.9655  4 Cr 2.85-2.86, 1 Zn 3.08
Cr1 0.6716 0.6716 0.3284  4 Zn 2.76, 4 Br 2.85-2.86

- calculated density (Mg/m³) = 5.0
- E (eV per atom) = -3.952
- space group = I4mm, No. 107
- relative energy among the computed polymorphs (meV/atom) = 38.6
- energy relative to the elements, uncorrected (eV/atom) = 0.24